# 1
# KRhBr

A relaxed structure of KRhBr (PBE, Alexandria via LeMat-Bulk).

* formation energy without anion corrections: 0.25 eV/atom
* polymorph energy (0 for the lowest one): 0.399 eV per atom
* M_tot: 1.0 μB/cell

a b c (Å): 4.800 4.800 4.800
angles (deg): 60.00 60.00 60.00
Positions (direct):
1 K 0.000 0.000 0.000
2 Rh 0.250 0.250 0.250
3 Br 0.500 0.500 0.500

# 2
# KRhBr

A relaxed structure of KRhBr (PBE, Alexandria via LeMat-Bulk).

* formation energy without anion corrections: -0.15 eV/atom
* polymorph energy (0 for the lowest one): 0.000 eV per atom
* M_tot: 0.0 μB/cell

a b c (Å): 4.302 4.302 4.979
angles (deg): 90.00 90.00 120.00
Positions (direct):
1 K 0.000 0.000 0.000
2 Rh 0.667 0.333 0.500
3 Br 0.333 0.667 0.500